[1]
# Tb4SbTe2Se

A geometry-optimized Tb4SbTe2Se structure (PBE, the Alexandria database). Values from VASP.

Geometry as Quantum ESPRESSO input:
```
&SYSTEM
  ibrav = 0, nat = 8, ntyp = 4
/
ATOMIC_SPECIES
Tb 158.93 Tb.upf
Te 127.60 Te.upf
Sb 121.76 Sb.upf
Se 78.96 Se.upf
CELL_PARAMETERS angstrom
-1.8307 0.3478 3.8693
4.6291 -5.3369 2.6701
6.1731 3.2182 2.6315
ATOMIC_POSITIONS crystal
Tb 0.5000 0.2688 0.7560
Tb 0.5000 0.7312 0.2440
Tb 0.0000 0.7234 0.7704
Te 0.5000 0.0000 0.5000
Tb 0.0000 0.2766 0.2296
Sb 0.0000 0.5000 0.5000
Se 0.5000 0.5000 0.0000
Te 0.0000 0.0000 0.0000
```

Results
Its space group is P2/m, No. 10. The total magnetization is 0.000 μB per atom.


[2]
# Tb6Sb3TeSe2

A geometry-optimized Tb6Sb3TeSe2 structure (PBE, the Alexandria database). Values from VASP.

Geometry as Quantum ESPRESSO input:
```
&SYSTEM
  ibrav = 0, nat = 12, ntyp = 4
/
ATOMIC_SPECIES
Sb 121.76 Sb.upf
Se 78.96 Se.upf
Tb 158.93 Tb.upf
Te 127.60 Te.upf
CELL_PARAMETERS angstrom
-2.9401 -3.1184 -0.4344
3.8710 -4.5137 6.2020
-4.7346 6.7502 4.9475
ATOMIC_POSITIONS crystal
Sb 0.5000 0.5000 0.0000
Sb 0.1627 0.8317 0.3254
Sb 0.8373 0.1683 0.6746
Se 0.8319 0.6659 0.6637
Tb 0.6702 0.5780 0.3404
Tb 0.9942 0.7404 0.9883
Tb 0.3281 0.9065 0.6562
Tb 0.0058 0.2596 0.0117
Te 0.5000 0.0000 0.0000
Se 0.1681 0.3341 0.3363
Tb 0.6719 0.0935 0.3438
Tb 0.3298 0.4220 0.6596
```

Results
Its space group is C2/m, No. 12. The total magnetization is 0.000 μB per atom.


[3]
# Tb6Sb3Te2Se

A geometry-optimized Tb6Sb3Te2Se structure (PBE, the Alexandria database). Values from VASP.

Geometry as Quantum ESPRESSO input:
```
&SYSTEM
  ibrav = 0, nat = 12, ntyp = 4
/
ATOMIC_SPECIES
Sb 121.76 Sb.upf
Tb 158.93 Tb.upf
Te 127.60 Te.upf
Se 78.96 Se.upf
CELL_PARAMETERS angstrom
4.3501 0.0000 0.0000
0.0000 8.6841 0.3233
-2.1751 -2.4838 9.1474
ATOMIC_POSITIONS crystal
Sb 0.1702 0.8368 0.3404
Tb 0.0039 0.7600 0.0078
Tb 0.3367 0.4094 0.6734
Te 0.8340 0.6656 0.6680
Sb 0.5000 0.5000 0.0000
Tb 0.3395 0.9251 0.6790
Tb 0.6605 0.0749 0.3210
Tb 0.9961 0.2400 0.9922
Tb 0.6633 0.5906 0.3266
Sb 0.8298 0.1632 0.6596
Se 0.5000 0.0000 0.0000
Te 0.1660 0.3344 0.3320
```

Results
Its space group is C2/m, No. 12. The total magnetization is 0.000 μB per atom.


[4]
# Tb6SbTe3Se2

A geometry-optimized Tb6SbTe3Se2 structure (PBE, the Alexandria database). Values from VASP.

Geometry as Quantum ESPRESSO input:
```
&SYSTEM
  ibrav = 0, nat = 12, ntyp = 4
/
ATOMIC_SPECIES
Se 78.96 Se.upf
Tb 158.93 Tb.upf
Te 127.60 Te.upf
Sb 121.76 Sb.upf
CELL_PARAMETERS angstrom
-4.6918 4.9991 -2.7289
0.1133 -6.8453 -2.7531
-3.3663 -1.3791 6.5933
ATOMIC_POSITIONS crystal
Se 0.3319 0.6681 0.0000
Tb 0.0761 0.4216 0.2247
Te 0.8382 0.1618 0.5000
Tb 0.9239 0.5784 0.7753
Tb 0.4216 0.0761 0.2247
Te 0.5000 0.5000 0.5000
Sb 0.0000 0.0000 0.0000
Tb 0.2744 0.2744 0.7800
Tb 0.5784 0.9239 0.7753
Tb 0.7256 0.7256 0.2200
Te 0.1618 0.8382 0.5000
Se 0.6681 0.3319 0.0000
```

Results
Its space group is C2/m, No. 12. The total magnetization is 0.000 μB per atom.


[5]
# TbThSbSe

A geometry-optimized TbThSbSe structure (PBE, the Alexandria database). Values from VASP.

Geometry as Quantum ESPRESSO input:
```
&SYSTEM
  ibrav = 0, nat = 4, ntyp = 4
/
ATOMIC_SPECIES
Tb 158.93 Tb.upf
Th 232.04 Th.upf
Se 78.96 Se.upf
Sb 121.76 Sb.upf
CELL_PARAMETERS angstrom
4.2839 0.0000 0.0000
0.0000 4.2781 0.2495
0.0000 -0.3577 6.1831
ATOMIC_POSITIONS crystal
Tb 0.5000 0.3914 0.0932
Th 0.0000 0.8916 0.5919
Se 0.5000 0.3916 0.5927
Sb 0.0000 0.8914 0.0919
```

Results
Its space group is P4mm, No. 99. The total magnetization is 0.000 μB per atom.


[6]
# Tb3Tl3SbSe8

A geometry-optimized Tb3Tl3SbSe8 structure (PBE, the Alexandria database). Values from VASP.

Geometry as Quantum ESPRESSO input:
```
&SYSTEM
  ibrav = 0, nat = 15, ntyp = 4
/
ATOMIC_SPECIES
Se 78.96 Se.upf
Sb 121.76 Sb.upf
Tb 158.93 Tb.upf
Tl 204.38 Tl.upf
CELL_PARAMETERS angstrom
8.3407 0.0000 0.0000
-4.1703 7.2251 -0.0286
0.0000 -4.7881 7.8071
ATOMIC_POSITIONS crystal
Se 0.2308 0.4617 0.7011
Sb 0.0000 0.0000 0.5000
Se 0.2645 0.5290 0.2937
Se 0.7399 0.9705 0.7012
Se 0.7692 0.5383 0.2989
Se 0.7355 0.4710 0.7063
Tb 0.5000 0.5000 0.5000
Se 0.7694 0.0295 0.2988
Tb 0.5000 0.0000 0.5000
Tl 0.5000 0.5000 0.0000
Tl 0.0000 0.0000 0.0000
Tl 0.0000 0.5000 0.0000
Tb 0.0000 0.5000 0.5000
Se 0.2601 0.0295 0.2988
Se 0.2306 0.9705 0.7012
```

Results
Its space group is R-3m, No. 166. The total magnetization is 0.000 μB per atom.


[7]
# Tb4TlSbSe2

A geometry-optimized Tb4TlSbSe2 structure (PBE, the Alexandria database). Values from VASP.

Geometry as Quantum ESPRESSO input:
```
&SYSTEM
  ibrav = 0, nat = 8, ntyp = 4
/
ATOMIC_SPECIES
Sb 121.76 Sb.upf
Se 78.96 Se.upf
Tl 204.38 Tl.upf
Tb 158.93 Tb.upf
CELL_PARAMETERS angstrom
-3.9852 0.2259 -1.2406
-2.0599 -4.1670 5.8584
-1.5057 4.4811 5.6529
ATOMIC_POSITIONS crystal
Sb 0.5000 0.5000 0.0000
Se 0.5000 0.0000 0.5000
Tl 0.0000 0.5000 0.5000
Tb 0.0000 0.7604 0.7454
Se 0.0000 0.0000 0.0000
Tb 0.0000 0.2396 0.2546
Tb 0.5000 0.2355 0.7566
Tb 0.5000 0.7645 0.2434
```

Results
Its space group is P2/m, No. 10. The total magnetization is 0.000 μB per atom.


[8]
# Tb6TlSb2Se3

A geometry-optimized Tb6TlSb2Se3 structure (PBE, the Alexandria database). Values from VASP.

Geometry as Quantum ESPRESSO input:
```
&SYSTEM
  ibrav = 0, nat = 12, ntyp = 4
/
ATOMIC_SPECIES
Tb 158.93 Tb.upf
Se 78.96 Se.upf
Sb 121.76 Sb.upf
Tl 204.38 Tl.upf
CELL_PARAMETERS angstrom
-0.7649 -3.8707 1.4859
-2.1225 -2.6182 -7.9127
9.5227 0.2868 -0.3325
ATOMIC_POSITIONS crystal
Tb 0.9967 0.2579 0.9933
Tb 0.3322 0.9232 0.6643
Se 0.5000 0.5000 0.0000
Sb 0.8339 0.6669 0.6678
Sb 0.1661 0.3331 0.3322
Tb 0.0033 0.7421 0.0067
Tl 0.5000 0.0000 0.0000
Tb 0.3344 0.4118 0.6688
Tb 0.6656 0.5882 0.3312
Tb 0.6678 0.0768 0.3357
Se 0.1690 0.8330 0.3379
Se 0.8310 0.1670 0.6621
```

Results
Its space group is C2/m, No. 12. The total magnetization is 0.000 μB per atom.


[9]
# Tb2Tl3SbSe6

A geometry-optimized Tb2Tl3SbSe6 structure (PBE, the Alexandria database). Values from VASP.

Geometry as Quantum ESPRESSO input:
```
&SYSTEM
  ibrav = 0, nat = 12, ntyp = 4
/
ATOMIC_SPECIES
Tl 204.38 Tl.upf
Tb 158.93 Tb.upf
Se 78.96 Se.upf
Sb 121.76 Sb.upf
CELL_PARAMETERS angstrom
-0.5657 4.8777 -5.4050
-4.8836 -5.3987 0.5751
-2.5928 4.6401 6.1015
ATOMIC_POSITIONS crystal
Tl 0.5000 0.5000 0.5000
Tl 0.1683 0.8317 0.5000
Tb 0.6666 0.3334 0.0000
Se 0.5984 0.9318 0.7951
Tl 0.8317 0.1683 0.5000
Sb 0.0000 0.0000 0.0000
Tb 0.3334 0.6666 0.0000
Se 0.7354 0.7354 0.2066
Se 0.2646 0.2646 0.7934
Se 0.9318 0.5984 0.7951
Se 0.0682 0.4016 0.2049
Se 0.4016 0.0682 0.2049
```

Results
Its space group is C2/m, No. 12. The total magnetization is 0.000 μB per atom.


[10]
# TbTl3Sb2Se6

A geometry-optimized TbTl3Sb2Se6 structure (PBE, the Alexandria database). Values from VASP.

Geometry as Quantum ESPRESSO input:
```
&SYSTEM
  ibrav = 0, nat = 12, ntyp = 4
/
ATOMIC_SPECIES
Tl 204.38 Tl.upf
Se 78.96 Se.upf
Sb 121.76 Sb.upf
Tb 158.93 Tb.upf
CELL_PARAMETERS angstrom
-2.0769 -2.2942 -6.6334
1.0104 -4.8417 5.3960
-6.9835 3.1204 2.4531
ATOMIC_POSITIONS crystal
Tl 0.5000 0.5000 0.5000
Se 0.5977 0.9305 0.7921
Tl 0.8344 0.1656 0.5000
Se 0.7355 0.7355 0.2059
Se 0.9305 0.5977 0.7921
Tl 0.1656 0.8344 0.5000
Sb 0.6664 0.3336 0.0000
Se 0.2645 0.2645 0.7941
Se 0.0695 0.4023 0.2079
Se 0.4023 0.0695 0.2079
Tb 0.0000 0.0000 0.0000
Sb 0.3336 0.6664 0.0000
```

Results
Its space group is C2/m, No. 12. The total magnetization is 0.000 μB per atom.


[11]
# TbTmSbSe

A geometry-optimized TbTmSbSe structure (PBE, the Alexandria database). Values from VASP.

Geometry as Quantum ESPRESSO input:
```
&SYSTEM
  ibrav = 0, nat = 4, ntyp = 4
/
ATOMIC_SPECIES
Sb 121.76 Sb.upf
Tm 168.93 Tm.upf
Tb 158.93 Tb.upf
Se 78.96 Se.upf
CELL_PARAMETERS angstrom
-3.4642 -1.5626 -1.8824
2.4336 -1.8808 -2.9173
0.3392 -4.8677 3.4165
ATOMIC_POSITIONS crystal
Sb 0.0000 0.8913 0.0921
Tm 0.0000 0.8917 0.5921
Tb 0.5000 0.3913 0.0929
Se 0.5000 0.3917 0.5927
```

Results
Its space group is P4mm, No. 99. The total magnetization is 0.000 μB per atom.


[12]
# TbYSbSe

A geometry-optimized TbYSbSe structure (PBE, the Alexandria database). Values from VASP.

Geometry as Quantum ESPRESSO input:
```
&SYSTEM
  ibrav = 0, nat = 4, ntyp = 4
/
ATOMIC_SPECIES
Sb 121.76 Sb.upf
Se 78.96 Se.upf
Tb 158.93 Tb.upf
Y 88.91 Y.upf
CELL_PARAMETERS angstrom
4.2521 0.0000 0.0000
0.0000 4.2441 0.2520
0.0000 -0.3554 6.0250
ATOMIC_POSITIONS crystal
Sb 0.0000 0.8916 0.5922
Se 0.5000 0.3914 0.0926
Tb 0.0000 0.8914 0.0922
Y 0.5000 0.3916 0.5928
```

Results
Its space group is P4/mmm, No. 123. The total magnetization is 0.000 μB per atom.


[13]
# Tc2SbSe

A geometry-optimized Tc2SbSe structure (PBE, the Alexandria database). Values from VASP.

Geometry as Quantum ESPRESSO input:
```
&SYSTEM
  ibrav = 0, nat = 4, ntyp = 3
/
ATOMIC_SPECIES
Sb 121.76 Sb.upf
Tc 98.00 Tc.upf
Se 78.96 Se.upf
CELL_PARAMETERS angstrom
-2.2458 3.8532 -1.0871
-1.9216 2.0727 -3.6173
-5.3484 -1.6569 0.4805
ATOMIC_POSITIONS crystal
Sb 0.4912 0.4912 0.5319
Tc 0.9973 0.9973 0.1106
Tc 0.7324 0.7324 0.7693
Se 0.2792 0.2792 0.0882
```

Results
Its space group is Cm, No. 8. As for the energy relative to the lowest polymorph listed for this composition: 115 meV per atom. The total magnetization is 0.000 μB per atom.


[14]
# Tc2SbSe

A geometry-optimized Tc2SbSe structure (PBE, the Alexandria database). Values from VASP.

Geometry as Quantum ESPRESSO input:
```
&SYSTEM
  ibrav = 0, nat = 4, ntyp = 3
/
ATOMIC_SPECIES
Se 78.96 Se.upf
Tc 98.00 Tc.upf
Sb 121.76 Sb.upf
CELL_PARAMETERS angstrom
-1.3531 0.6228 -2.7237
-4.2171 -2.9418 1.4224
-1.8337 3.4507 1.7000
ATOMIC_POSITIONS crystal
Se 0.0000 0.5000 0.5000
Tc 0.0000 0.0000 0.0000
Sb 0.5000 0.0000 0.5000
Tc 0.5000 0.5000 0.0000
```

Results
Its space group is Pmmm, No. 47. As for the energy relative to the lowest polymorph listed for this composition: 602 meV per atom. The total magnetization is 0.000 μB per atom.


[15]
# Tc2SbSe

A geometry-optimized Tc2SbSe structure (PBE, the Alexandria database). Values from VASP.

Geometry as Quantum ESPRESSO input:
```
&SYSTEM
  ibrav = 0, nat = 4, ntyp = 3
/
ATOMIC_SPECIES
Se 78.96 Se.upf
Tc 98.00 Tc.upf
Sb 121.76 Sb.upf
CELL_PARAMETERS angstrom
2.9692 -0.0096 0.0000
-1.3800 2.6291 0.0000
0.0000 0.0000 10.2284
ATOMIC_POSITIONS crystal
Se 0.5000 0.5000 0.8167
Tc 0.0000 0.0000 0.0166
Tc 0.5000 0.5000 0.2183
Sb 0.0000 0.0000 0.4483
```

Results
Its space group is Cmm2, No. 35. As for the energy relative to the lowest polymorph listed for this composition: 437 meV per atom. The total magnetization is 0.000 μB per atom.


[16]
# TcSb3Se

A geometry-optimized TcSb3Se structure (PBE, the Alexandria database). Values from VASP.

Geometry as Quantum ESPRESSO input:
```
&SYSTEM
  ibrav = 0, nat = 5, ntyp = 3
/
ATOMIC_SPECIES
Sb 121.76 Sb.upf
Se 78.96 Se.upf
Tc 98.00 Tc.upf
CELL_PARAMETERS angstrom
5.1292 0.0000 0.0000
0.0000 5.1292 0.0000
0.0000 0.0000 5.1292
ATOMIC_POSITIONS crystal
Sb 0.0000 0.0000 0.5000
Sb 0.5000 0.0000 0.0000
Se 0.5000 0.5000 0.5000
Sb 0.0000 0.5000 0.0000
Tc 0.0000 0.0000 0.0000
```

Results
Its space group is Pm-3m, No. 221. As for the energy relative to the lowest polymorph listed for this composition: 0 meV per atom. The total magnetization is 0.000 μB per atom.


[17]
# Tc3SbSe

A geometry-optimized Tc3SbSe structure (PBE, the Alexandria database). Values from VASP.

Geometry as Quantum ESPRESSO input:
```
&SYSTEM
  ibrav = 0, nat = 5, ntyp = 3
/
ATOMIC_SPECIES
Tc 98.00 Tc.upf
Sb 121.76 Sb.upf
Se 78.96 Se.upf
CELL_PARAMETERS angstrom
4.5981 0.0000 0.0000
0.0000 4.5981 0.0000
0.0000 0.0000 4.5981
ATOMIC_POSITIONS crystal
Tc 0.0000 0.5000 0.0000
Sb 0.5000 0.5000 0.5000
Tc 0.0000 0.0000 0.5000
Tc 0.5000 0.0000 0.0000
Se 0.0000 0.0000 0.0000
```

Results
Its space group is Pm-3m, No. 221. As for the energy relative to the lowest polymorph listed for this composition: 0 meV per atom. The total magnetization is 0.364 μB per atom.


[18]
# Tc2SbSe

A geometry-optimized Tc2SbSe structure (PBE, the Alexandria database). Values from VASP.

Geometry as Quantum ESPRESSO input:
```
&SYSTEM
  ibrav = 0, nat = 4, ntyp = 3
/
ATOMIC_SPECIES
Sb 121.76 Sb.upf
Se 78.96 Se.upf
Tc 98.00 Tc.upf
CELL_PARAMETERS angstrom
-4.8284 0.7838 -1.7284
-0.2509 -1.3367 5.0066
-1.1701 2.5481 1.5975
ATOMIC_POSITIONS crystal
Sb 0.5000 0.0000 0.5000
Se 0.0000 0.5000 0.5000
Tc 0.5000 0.5000 0.0000
Tc 0.0000 0.0000 0.0000
```

Results
Its space group is C2/m, No. 12. As for the energy relative to the lowest polymorph listed for this composition: 652 meV per atom. The total magnetization is 0.000 μB per atom.


[19]
# Tc2SbSe

A geometry-optimized Tc2SbSe structure (PBE, the Alexandria database). Values from VASP.

Geometry as Quantum ESPRESSO input:
```
&SYSTEM
  ibrav = 0, nat = 4, ntyp = 3
/
ATOMIC_SPECIES
Tc 98.00 Tc.upf
Se 78.96 Se.upf
Sb 121.76 Sb.upf
CELL_PARAMETERS angstrom
2.5529 -0.1236 3.7435
1.9137 3.7995 1.5647
-1.5098 1.8845 3.8361
ATOMIC_POSITIONS crystal
Tc 0.7500 0.7500 0.7500
Tc 0.2500 0.2500 0.2500
Se 0.0000 0.0000 0.0000
Sb 0.5000 0.5000 0.5000
```

Results
Its space group is Fm-3m, No. 225. As for the energy relative to the lowest polymorph listed for this composition: 232 meV per atom. The total magnetization is 0.000 μB per atom.


[20]
# Tc2SbSe

A geometry-optimized Tc2SbSe structure (PBE, the Alexandria database). Values from VASP.

Geometry as Quantum ESPRESSO input:
```
&SYSTEM
  ibrav = 0, nat = 4, ntyp = 3
/
ATOMIC_SPECIES
Sb 121.76 Sb.upf
Se 78.96 Se.upf
Tc 98.00 Tc.upf
CELL_PARAMETERS angstrom
5.2555 -0.0177 0.0072
1.6602 4.9865 -0.0072
-2.5737 -3.7151 2.6825
ATOMIC_POSITIONS crystal
Sb 0.2500 0.7500 0.5000
Se 0.7500 0.2500 0.5000
Tc 0.5242 0.5242 0.0000
Tc 0.9758 0.9758 0.0000
```

Results
Its space group is Immm, No. 71. As for the energy relative to the lowest polymorph listed for this composition: 548 meV per atom. The total magnetization is 0.000 μB per atom.


no.,uncorrected energy (eV per atom)
1,-5.46
2,-5.58
3,-5.49
4,-5.48
5,-6.22
6,-4.66
7,-5.23
8,-5.38
9,-4.49
10,-4.11
11,-5.57
12,-6.14
13,-6.97
14,-6.49
15,-6.65
16,-4.88
17,-6.73
18,-6.44
19,-6.86
20,-6.54